Arrangement 1

InP3H: relaxed, GGA-PBE.

Its density of states at the Fermi level is 0.67 states/eV per atom.

The space group is Pm-3m (No. 221) and the conventional cell measures 5.1157, 5.1157 and 5.1157 Å, with angles of 90.00, 90.00 and 90.00 degrees. Symmetry generates all atoms from In at (0.0000, 0.0000, 0.0000), P at (0.0000, 0.0000, 0.5000) and H at (0.5000, 0.5000, 0.5000).

Arrangement 2

InP3H: relaxed, GGA-PBE.

Its density of states at the Fermi level is 0.45 states/eV per atom.

The space group is Pm-3m (No. 221) and the conventional cell measures 4.1982, 4.1982 and 4.1982 Å, with angles of 90.00, 90.00 and 90.00 degrees. Symmetry generates all atoms from In at (0.0000, 0.0000, 0.0000), P at (0.0000, 0.5000, 0.5000) and H at (0.5000, 0.5000, 0.5000).

The structure with the most favorable energy is arrangement 2; the runner-up is 920 meV/atom above it.

Arrangement 1

InPHS2: relaxed, GGA-PBE.

Its density of states at the Fermi level is 0.99 states/eV per atom.

The space group is P4/mmm (No. 123) and the conventional cell measures 5.1861, 5.1861 and 5.2838 Å, with angles of 90.00, 90.00 and 90.00 degrees. Symmetry generates all atoms from In at (0.0000, 0.0000, 0.0000), P at (0.0000, 0.0000, 0.5000), H at (0.5000, 0.5000, 0.5000) and S at (0.0000, 0.5000, 0.0000).

Arrangement 2

InPHS2: relaxed, GGA-PBE.

Its density of states at the Fermi level is 0.29 states/eV per atom.

The space group is P4/mmm (No. 123) and the conventional cell measures 4.8202, 4.8202 and 3.3145 Å, with angles of 90.00, 90.00 and 90.00 degrees. Symmetry generates all atoms from In at (0.0000, 0.0000, 0.0000), P at (0.5000, 0.5000, 0.0000), H at (0.5000, 0.5000, 0.5000) and S at (0.0000, 0.5000, 0.5000).

The structure with the most favorable energy is arrangement 2; the runner-up is 746 meV/atom above it.

Arrangement 1

InH2Pb2: relaxed, GGA-PBE.

Its density of states at the Fermi level is 0.38 states/eV per atom.

The space group is C2/m (No. 12) and the conventional cell measures 6.7124, 3.6454 and 8.4389 Å, with angles of 90.00, 91.19 and 90.00 degrees. Symmetry generates all atoms from In at (0.0000, 0.0000, 0.0000), H at (0.1570, 0.5000, 0.4134) and Pb at (0.1610, 0.5000, 0.6916).

Arrangement 2

InH2Pb2: relaxed, GGA-PBE.

Its density of states at the Fermi level is 0.34 states/eV per atom.

The space group is I4/mmm (No. 139) and the conventional cell measures 3.6650, 3.6650 and 14.9280 Å, with angles of 90.00, 90.00 and 90.00 degrees. Symmetry generates all atoms from In at (0.0000, 0.0000, 0.0000), H at (0.0000, 0.5000, 0.2500) and Pb at (0.0000, 0.0000, 0.3497).

The structure with the most favorable energy is arrangement 2; the runner-up is 27 meV/atom above it.

Arrangement 1

In2H2Pb: relaxed, GGA-PBE.

Its density of states at the Fermi level is 0.32 states/eV per atom.

The space group is I4/mmm (No. 139) and the conventional cell measures 3.5761, 3.5761 and 14.7333 Å, with angles of 90.00, 90.00 and 90.00 degrees. Symmetry generates all atoms from In at (0.0000, 0.0000, 0.1568), H at (0.0000, 0.5000, 0.2500) and Pb at (0.0000, 0.0000, 0.5000).

Arrangement 2

In2H2Pb: relaxed, GGA-PBE.

Its density of states at the Fermi level is 0.22 states/eV per atom.

The space group is C2/m (No. 12) and the conventional cell measures 9.1115, 5.1937 and 5.3124 Å, with angles of 90.00, 124.93 and 90.00 degrees. Symmetry generates all atoms from In at (0.2457, 0.0000, 0.2426), H at (0.0136, 0.5000, 0.0829) and Pb at (0.0000, 0.0000, 0.5000).

The structure with the most favorable energy is arrangement 2; the runner-up is 177 meV/atom above it.